Entry 1:
This record from Alexandria via LeMat-Bulk describes a relaxed structure of Hg2Bi2Te5. The functional is PBE.

Summary:
The calculation puts the energy relative to the elements, uncorrected at -96 meV per atom. The total energy comes out at -2.77 eV/atom.

Unit cell a=4.651 b=4.651 c=18.950 alpha=82.95 beta=82.95 gamma=60.00
Sites, in units of the cell vectors:
Te (0.466, 0.466, 0.601)
Te (0.740, 0.740, 0.781)
Te (0.618, 0.618, 0.146)
Te (0.002, 0.002, 0.995)
Te (0.869, 0.869, 0.392)
Bi (0.102, 0.102, 0.693)
Bi (0.925, 0.925, 0.226)
Hg (0.687, 0.687, 0.939)
Hg (0.516, 0.516, 0.451)



Entry 2:
This record from Alexandria via LeMat-Bulk describes a relaxed structure of SmAlHPd2. The functional is PBE.

Summary:
The total energy comes out at -5.23 eV/atom.

Unit cell a=3.842 b=5.880 c=7.460 alpha=90.00 beta=90.00 gamma=109.07
Sites, in units of the cell vectors:
H (0.000, 0.000, 0.000)
H (0.000, 0.000, 0.500)
Pd (0.844, 0.687, 0.055)
Pd (0.844, 0.687, 0.445)
Pd (0.156, 0.313, 0.945)
Pd (0.156, 0.313, 0.555)
Sm (0.555, 0.110, 0.250)
Sm (0.445, 0.890, 0.750)
Al (0.274, 0.548, 0.250)
Al (0.726, 0.452, 0.750)



Entry 3:
This record from Alexandria via LeMat-Bulk describes a relaxed structure of Ta2Mo3W. The functional is PBE.

Summary:
The total energy comes out at -11.70 eV/atom. Its energy relative to the elements is -0.171 eV/atom. The energy above the lowest structure with this stoichiometry comes out at 0.0000 eV/atom.

Unit cell a=4.536 b=7.174 c=6.428 alpha=90.00 beta=90.00 gamma=71.57
Sites, in units of the cell vectors:
Mo (0.832, 0.336, 0.754)
Mo (0.832, 0.336, 0.246)
Mo (0.500, 0.000, 0.753)
Mo (0.168, 0.664, 0.754)
Mo (0.500, 0.000, 0.247)
Mo (0.168, 0.664, 0.246)
Ta (0.667, 0.666, 0.500)
Ta (0.000, 0.000, 0.500)
Ta (0.333, 0.334, 0.500)
Ta (0.000, 0.000, 0.000)
W (0.333, 0.333, 0.000)
W (0.667, 0.667, 0.000)